No. 1
# Re2IrPt PBE-GGA optimized geometry
# ΔE_f in eV/f.u.: -0.15
data_Re2IrPt
_chemical_formula_sum 'Re4 Ir2 Pt2'
_symmetry_space_group_name_H-M 'C 1 2/m 1'
_symmetry_Int_Tables_number 12
_cell_length_a 9.2189
_cell_length_b 2.7547
_cell_length_c 4.7648
_cell_angle_alpha 90.00
_cell_angle_beta 99.84
_cell_angle_gamma 90.00
loop_
_symmetry_equiv_pos_as_xyz
'x,y,z'
'-x,-y,-z'
'-x,y,-z'
'x,-y,z'
'x+1/2,y+1/2,z'
'-x+1/2,-y+1/2,-z'
'-x+1/2,y+1/2,-z'
'x+1/2,-y+1/2,z'
loop_
_atom_site_label
_atom_site_type_symbol
_atom_site_fract_x
_atom_site_fract_y
_atom_site_fract_z
Re1 Re 0.2469 0.0000 0.2440
Ir1 Ir 0.0000 0.5000 0.0000
Pt1 Pt 0.0000 0.0000 0.5000

No. 2
# Re2IrPt PBE-GGA optimized geometry
# ΔE_f in eV/f.u.: 1.35
data_Re2IrPt
_chemical_formula_sum 'Re8 Ir4 Pt4'
_symmetry_space_group_name_H-M 'F -4 3 m'
_symmetry_Int_Tables_number 216
_symmetry_space_group_name_Hall 'F -4 2 3'
_cell_length_a 6.2504
_cell_length_b 6.2504
_cell_length_c 6.2504
_cell_angle_alpha 90.00
_cell_angle_beta 90.00
_cell_angle_gamma 90.00
loop_
_atom_site_label
_atom_site_type_symbol
_atom_site_fract_x
_atom_site_fract_y
_atom_site_fract_z
Re1 Re 0.0000 0.0000 0.0000
Re2 Re 0.2500 0.2500 0.2500
Ir1 Ir 0.0000 0.0000 0.5000
Pt1 Pt 0.2500 0.2500 0.7500

No. 3
# ReIrPt PBE-GGA optimized geometry
# ΔE_f in eV/f.u.: -0.43
data_ReIrPt
_chemical_formula_sum 'Re2 Ir2 Pt2'
_symmetry_space_group_name_H-M 'P 1 21/m 1'
_symmetry_Int_Tables_number 11
_cell_length_a 3.9062
_cell_length_b 3.8961
_cell_length_c 6.2233
_cell_angle_alpha 90.00
_cell_angle_beta 108.00
_cell_angle_gamma 90.00
loop_
_symmetry_equiv_pos_as_xyz
'x,y,z'
'-x,-y,-z'
'-x,y+1/2,-z'
'x,-y+1/2,z'
loop_
_atom_site_label
_atom_site_type_symbol
_atom_site_fract_x
_atom_site_fract_y
_atom_site_fract_z
Re1 Re 0.2301 0.2500 0.4973
Ir1 Ir 0.4095 0.7500 0.8143
Pt1 Pt 0.0900 0.7500 0.1763

No. 4
# ReIrPtRh PBE-GGA optimized geometry
# ΔE_f in eV/f.u.: 0.84
data_ReIrPtRh
_chemical_formula_sum 'Re3 Ir3 Pt3 Rh3'
_symmetry_space_group_name_H-M 'R 3 m'
_symmetry_Int_Tables_number 160
_symmetry_space_group_name_Hall 'R 3 -2"'
_cell_length_a 4.3056
_cell_length_b 4.3056
_cell_length_c 12.1641
_cell_angle_alpha 90.00
_cell_angle_beta 90.00
_cell_angle_gamma 120.00
loop_
_atom_site_label
_atom_site_type_symbol
_atom_site_fract_x
_atom_site_fract_y
_atom_site_fract_z
Re1 Re 0.0000 0.0000 0.0000
Ir1 Ir 0.0000 0.0000 0.3449
Pt1 Pt 0.0000 0.0000 0.5646
Rh1 Rh 0.0000 0.0000 0.7863

No. 5
# ReIrPtSe2 PBE-GGA optimized geometry
# Electronic total energy in Ry/atom: -0.41075
data_ReIrPtSe2
_chemical_formula_sum 'Re1 Ir1 Pt1 Se2'
_symmetry_space_group_name_H-M 'P 4/m m m'
_symmetry_Int_Tables_number 123
_symmetry_space_group_name_Hall '-P 4 2'
_cell_length_a 4.6916
_cell_length_b 4.6916
_cell_length_c 4.9031
_cell_angle_alpha 90.00
_cell_angle_beta 90.00
_cell_angle_gamma 90.00
loop_
_atom_site_label
_atom_site_type_symbol
_atom_site_fract_x
_atom_site_fract_y
_atom_site_fract_z
Re1 Re 0.0000 0.0000 0.0000
Ir1 Ir 0.0000 0.0000 0.5000
Pt1 Pt 0.5000 0.5000 0.5000
Se1 Se 0.0000 0.5000 0.0000

No. 6
# ZrReIr2Pt PBE-GGA optimized geometry
# ΔE_f in eV/f.u.: 7.87
data_ZrReIr2Pt
_chemical_formula_sum 'Zr1 Re1 Ir2 Pt1'
_symmetry_space_group_name_H-M 'P 4/m m m'
_symmetry_Int_Tables_number 123
_symmetry_space_group_name_Hall '-P 4 2'
_cell_length_a 4.8188
_cell_length_b 4.8188
_cell_length_c 4.6255
_cell_angle_alpha 90.00
_cell_angle_beta 90.00
_cell_angle_gamma 90.00
loop_
_atom_site_label
_atom_site_type_symbol
_atom_site_fract_x
_atom_site_fract_y
_atom_site_fract_z
Zr1 Zr 0.0000 0.0000 0.0000
Re1 Re 0.5000 0.5000 0.0000
Ir1 Ir 0.0000 0.5000 0.5000
Pt1 Pt 0.5000 0.5000 0.5000